No. 1
VASP calculation (PBE) on crystalline LaGa2NiPd at its relaxed geometry.

abc: 4.3781 4.3781 9.8317
angles: 90.00 90.00 90.00
Positions (direct):
Ga 0.0000 0.5000 0.8949
Ga 0.5000 0.0000 0.1051
Ga 0.5000 0.5000 0.5000
Ga 0.0000 0.0000 0.5000
La 0.0000 0.5000 0.2384
La 0.5000 0.0000 0.7616
Ni 0.5000 0.5000 0.0000
Ni 0.0000 0.0000 0.0000
Pd 0.0000 0.5000 0.6381
Pd 0.5000 0.0000 0.3619

The space group is P4/nmm, No. 129. The calculated volume comes out at 188.5 Å³/cell. The uncorrected energy comes out at -0.1855 hartree per atom. The magnetic moment is 0.00 μB/cell.

No. 2
VASP calculation (PBE) on crystalline LaPr2Ga2Ni4 at its relaxed geometry.

abc: 5.5429 5.5429 8.3078
angles: 98.43 98.43 44.32
Positions (direct):
Ga 0.3228 0.3228 0.7154
Ga 0.6772 0.6772 0.2846
Ni 0.9166 0.9166 0.8637
Ni 0.2606 0.2606 0.4149
Ni 0.7394 0.7394 0.5851
Ni 0.0834 0.0834 0.1363
La 0.0000 0.0000 0.5000
Pr 0.6239 0.6239 0.8790
Pr 0.3761 0.3761 0.1210

The space group is C2/m, No. 12. The calculated volume comes out at 176.1 Å³/cell. The uncorrected energy comes out at -0.1930 hartree per atom. The magnetic moment is 0.01 μB/cell.

No. 3
VASP calculation (PBE) on crystalline LaGa2NiPt at its relaxed geometry.

abc: 4.2728 4.2728 10.0658
angles: 90.00 90.00 90.00
Positions (direct):
Pt 0.5000 0.5000 0.0000
Pt 0.0000 0.0000 0.0000
Ga 0.0000 0.5000 0.8568
Ga 0.5000 0.0000 0.1432
Ga 0.0000 0.0000 0.5000
Ga 0.5000 0.5000 0.5000
La 0.5000 0.0000 0.7428
La 0.0000 0.5000 0.2572
Ni 0.0000 0.5000 0.6208
Ni 0.5000 0.0000 0.3792

The space group is P4/nmm, No. 129. The energy above the lowest structure with this stoichiometry comes out at 38.2 meV per atom. The calculated volume comes out at 183.8 Å³/cell. The uncorrected energy comes out at -0.1942 hartree per atom. The magnetic moment is 0.01 μB/cell.

No. 4
VASP calculation (PBE) on crystalline LaGa2NiPt at its relaxed geometry.

abc: 4.3812 4.3812 9.8343
angles: 90.00 90.00 90.00
Positions (direct):
La 0.5000 0.0000 0.7615
La 0.0000 0.5000 0.2385
Ga 0.5000 0.5000 0.5000
Ga 0.5000 0.0000 0.1051
Ga 0.0000 0.5000 0.8949
Ga 0.0000 0.0000 0.5000
Pt 0.0000 0.5000 0.6382
Pt 0.5000 0.0000 0.3618
Ni 0.0000 0.0000 0.0000
Ni 0.5000 0.5000 0.0000

The space group is P4/nmm, No. 129. The energy above the lowest structure with this stoichiometry comes out at 0.0 meV per atom. The calculated volume comes out at 188.8 Å³/cell. The uncorrected energy comes out at -0.1956 hartree per atom. The magnetic moment is 0.01 μB/cell.

No. 5
VASP calculation (PBE) on crystalline LaGaNi2Sb at its relaxed geometry.

abc: 4.3679 4.3679 9.9744
angles: 90.00 90.00 90.00
Positions (direct):
La 0.0000 0.5000 0.2530
La 0.5000 0.0000 0.7470
Ga 0.0000 0.0000 0.5000
Ga 0.5000 0.5000 0.5000
Ni 0.0000 0.5000 0.6127
Ni 0.5000 0.0000 0.3873
Ni 0.5000 0.5000 0.0000
Ni 0.0000 0.0000 0.0000
Sb 0.0000 0.5000 0.8644
Sb 0.5000 0.0000 0.1356

The space group is P4/nmm, No. 129. The calculated volume comes out at 190.3 Å³/cell. The uncorrected energy comes out at -0.1962 hartree per atom. The magnetic moment is 0.00 μB/cell.

No. 6
VASP calculation (PBE) on crystalline La2GaSiNi4 at its relaxed geometry.

abc: 4.1313 4.1313 9.7820
angles: 90.00 90.00 120.00
Positions (direct):
Ni 0.6667 0.3333 0.0466
Ni 0.6667 0.3333 0.4553
Ni 0.3333 0.6667 0.5447
Ni 0.3333 0.6667 0.9534
Si 0.0000 0.0000 0.5000
Ga 0.0000 0.0000 0.0000
La 0.6667 0.3333 0.7487
La 0.3333 0.6667 0.2513

The space group is P-3m1, No. 164. The calculated volume comes out at 144.6 Å³/cell. The uncorrected energy comes out at -0.2078 hartree per atom. The magnetic moment is 0.00 μB/cell.

No. 7
VASP calculation (PBE) on crystalline LaSm2Ga2Ni4 at its relaxed geometry.

abc: 5.4664 5.4664 8.2437
angles: 97.98 97.98 45.14
Positions (direct):
La 0.0000 0.0000 0.0000
Ni 0.7390 0.7390 0.0866
Ni 0.0840 0.0840 0.6335
Ni 0.2610 0.2610 0.9134
Ni 0.9160 0.9160 0.3665
Sm 0.3749 0.3749 0.6167
Sm 0.6251 0.6251 0.3833
Ga 0.6779 0.6779 0.7806
Ga 0.3221 0.3221 0.2194

The space group is C2/m, No. 12. The calculated volume comes out at 172.6 Å³/cell. The uncorrected energy comes out at -0.1939 hartree per atom. The magnetic moment is 0.01 μB/cell.

No. 8
VASP calculation (PBE) on crystalline LaGaNi2Sn at its relaxed geometry.

abc: 4.4112 4.4112 9.9096
angles: 90.00 90.00 90.00
Positions (direct):
Ga 0.5000 0.5000 0.5000
Ga 0.0000 0.0000 0.5000
La 0.5000 0.0000 0.7466
La 0.0000 0.5000 0.2534
Ni 0.5000 0.5000 0.0000
Ni 0.0000 0.5000 0.6113
Ni 0.0000 0.0000 0.0000
Ni 0.5000 0.0000 0.3887
Sn 0.0000 0.5000 0.8680
Sn 0.5000 0.0000 0.1320

The space group is P4/nmm, No. 129. The calculated volume comes out at 192.8 Å³/cell. The uncorrected energy comes out at -0.1907 hartree per atom. The magnetic moment is 0.00 μB/cell.

No. 9
VASP calculation (PBE) on crystalline Sr2LaGa2Ni4 at its relaxed geometry.

abc: 5.6444 5.6444 8.5107
angles: 98.77 98.77 44.18
Positions (direct):
Ni 0.2581 0.2581 0.4178
Ni 0.9102 0.9102 0.8348
Ni 0.7419 0.7419 0.5822
Ni 0.0898 0.0898 0.1652
Sr 0.6253 0.6253 0.8857
Sr 0.3747 0.3747 0.1143
Ga 0.3239 0.3239 0.7083
Ga 0.6761 0.6761 0.2917
La 0.0000 0.0000 0.5000

The space group is C2/m, No. 12. The calculated volume comes out at 186.4 Å³/cell. The uncorrected energy comes out at -0.1625 hartree per atom. The magnetic moment is 0.00 μB/cell.

No. 10
VASP calculation (PBE) on crystalline LaTbGa2Ni4 at its relaxed geometry.

abc: 4.1873 4.1873 9.2154
angles: 90.00 90.00 120.00
Positions (direct):
Ni 0.3333 0.6667 0.2043
Ni 0.0000 0.0000 0.6858
Ni 0.0000 0.0000 0.3142
Ni 0.3333 0.6667 0.7957
Tb 0.3333 0.6667 0.5000
Ga 0.6667 0.3333 0.7367
Ga 0.6667 0.3333 0.2633
La 0.0000 0.0000 0.0000

The space group is P-6m2, No. 187. The calculated volume comes out at 139.9 Å³/cell. The uncorrected energy comes out at -0.1940 hartree per atom. The magnetic moment is 0.00 μB/cell.

No. 11
VASP calculation (PBE) on crystalline LaYGa2Ni4 at its relaxed geometry.

abc: 4.1823 4.1823 9.1907
angles: 90.00 90.00 120.00
Positions (direct):
Ni 0.0000 0.0000 0.6863
Ni 0.0000 0.0000 0.3137
Ni 0.3333 0.6667 0.2021
Ni 0.3333 0.6667 0.7979
Ga 0.6667 0.3333 0.7369
Ga 0.6667 0.3333 0.2631
La 0.0000 0.0000 0.0000
Y 0.3333 0.6667 0.5000

The space group is P-6m2, No. 187. The calculated volume comes out at 139.2 Å³/cell. The uncorrected energy comes out at -0.2024 hartree per atom. The magnetic moment is 0.01 μB/cell.

No. 12
VASP calculation (PBE) on crystalline LaPaGa at its relaxed geometry.

abc: 4.9731 4.9731 4.9731
angles: 60.00 60.00 60.00
Positions (direct):
Pa 0.2500 0.2500 0.2500
Ga 0.5000 0.5000 0.5000
La 0.0000 0.0000 0.0000

The space group is F-43m, No. 216. The calculated volume comes out at 87.0 Å³/cell. The uncorrected energy comes out at -0.1938 hartree per atom. The magnetic moment is 2.11 μB/cell.

No. 13
VASP calculation (PBE) on crystalline LaGa2Pd2 at its relaxed geometry.

abc: 6.2163 6.2163 6.2163
angles: 139.26 139.26 58.98
Positions (direct):
Ga 0.7500 0.2500 0.5000
Ga 0.2500 0.7500 0.5000
La 0.0000 0.0000 0.0000
Pd 0.3753 0.3753 0.0000
Pd 0.6247 0.6247 0.0000

The space group is I4/mmm, No. 139. The energy above the lowest structure with this stoichiometry comes out at 60.8 meV per atom. The calculated volume comes out at 101.3 Å³/cell. The uncorrected energy comes out at -0.1854 hartree per atom. The magnetic moment is 0.01 μB/cell.

No. 14
VASP calculation (PBE) on crystalline LaGa4Pd6 at its relaxed geometry.

abc: 7.3771 7.3771 3.9919
angles: 90.00 90.00 120.00
Positions (direct):
Ga 0.4029 0.2014 0.5000
Ga 0.7986 0.5971 0.5000
Ga 0.3333 0.6667 0.0000
Ga 0.7986 0.2014 0.5000
Pd 0.5337 0.0673 0.0000
Pd 0.5337 0.4663 0.0000
Pd 0.1999 0.3998 0.5000
Pd 0.6002 0.8001 0.5000
Pd 0.1999 0.8001 0.5000
Pd 0.9327 0.4663 0.0000
La 0.0000 0.0000 0.0000

The space group is P-6m2, No. 187. The calculated volume comes out at 188.1 Å³/cell. The uncorrected energy comes out at -0.1894 hartree per atom. The magnetic moment is 0.00 μB/cell.

No. 15
VASP calculation (PBE) on crystalline LaGa2Pd2 at its relaxed geometry.

abc: 4.4676 4.4676 10.0106
angles: 90.00 90.00 90.00
Positions (direct):
Pd 0.0000 0.5000 0.6278
Pd 0.5000 0.5000 0.0000
Pd 0.0000 0.0000 0.0000
Pd 0.5000 0.0000 0.3722
Ga 0.0000 0.0000 0.5000
Ga 0.5000 0.0000 0.1229
Ga 0.5000 0.5000 0.5000
Ga 0.0000 0.5000 0.8771
La 0.0000 0.5000 0.2489
La 0.5000 0.0000 0.7511

The space group is P4/nmm, No. 129. The energy above the lowest structure with this stoichiometry comes out at 0.0 meV per atom. The calculated volume comes out at 199.8 Å³/cell. The uncorrected energy comes out at -0.1876 hartree per atom. The magnetic moment is 0.01 μB/cell.

No. 16
VASP calculation (PBE) on crystalline La2Ga8Pd at its relaxed geometry.

abc: 4.4604 4.4604 11.5138
angles: 90.00 90.00 90.00
Positions (direct):
Ga 0.0000 0.5000 0.1203
Ga 0.0000 0.5000 0.8797
Ga 0.5000 0.0000 0.8797
Ga 0.5000 0.5000 0.6927
Ga 0.5000 0.0000 0.1203
Ga 0.5000 0.5000 0.3073
Ga 0.0000 0.5000 0.5000
Ga 0.5000 0.0000 0.5000
La 0.0000 0.0000 0.3070
La 0.0000 0.0000 0.6930
Pd 0.0000 0.0000 0.0000

The space group is P4/mmm, No. 123. The calculated volume comes out at 229.1 Å³/cell. The uncorrected energy comes out at -0.1501 hartree per atom. The magnetic moment is 0.00 μB/cell.

No. 17
VASP calculation (PBE) on crystalline La2Ga5Pd3 at its relaxed geometry.

abc: 8.8065 8.8065 8.8065
angles: 106.98 86.09 140.90
Positions (direct):
La 0.6353 0.7745 0.4098
La 0.1353 0.7255 0.8608
La 0.8647 0.2745 0.1392
La 0.3647 0.2255 0.5902
Ga 0.5367 0.7500 0.7867
Ga 0.0998 0.1599 0.2598
Ga 0.4002 0.6599 0.0601
Ga 0.0367 0.2500 0.7867
Ga 0.2500 0.7500 0.5000
Ga 0.9633 0.7500 0.2133
Ga 0.9002 0.8401 0.7402
Ga 0.7500 0.2500 0.5000
Ga 0.5998 0.3401 0.9399
Ga 0.4633 0.2500 0.2133
Pd 0.8582 0.6017 0.4598
Pd 0.2500 0.2500 0.0000
Pd 0.3582 0.8983 0.2565
Pd 0.1418 0.3983 0.5402
Pd 0.6418 0.1017 0.7435
Pd 0.7500 0.7500 0.0000

The space group is Ibam, No. 72. The calculated volume comes out at 397.4 Å³/cell. The uncorrected energy comes out at -0.1789 hartree per atom. The magnetic moment is 0.00 μB/cell.

No. 18
VASP calculation (PBE) on crystalline LaGa2Pd at its relaxed geometry.

abc: 9.4938 9.4938 4.3289
angles: 90.00 90.00 153.68
Positions (direct):
Ga 0.0000 0.0000 0.5000
Ga 0.2861 0.7139 0.5000
Ga 0.5000 0.5000 0.0000
Ga 0.7139 0.2861 0.5000
La 0.8571 0.1429 0.0000
La 0.1429 0.8571 0.0000
Pd 0.4221 0.5779 0.5000
Pd 0.5779 0.4221 0.5000

The space group is Cmmm, No. 65. The calculated volume comes out at 173.0 Å³/cell. The uncorrected energy comes out at -0.1767 hartree per atom. The magnetic moment is 0.02 μB/cell.

No. 19
VASP calculation (PBE) on crystalline LaPr2Ga2Pd4 at its relaxed geometry.

abc: 5.6667 5.6667 8.7763
angles: 97.41 97.41 45.87
Positions (direct):
Pd 0.0848 0.0848 0.1381
Pd 0.2772 0.2772 0.4117
Pd 0.9152 0.9152 0.8619
Pd 0.7228 0.7228 0.5883
Ga 0.3218 0.3218 0.7179
Ga 0.6782 0.6782 0.2821
Pr 0.3764 0.3764 0.1151
Pr 0.6236 0.6236 0.8849
La 0.0000 0.0000 0.5000

The space group is C2/m, No. 12. The calculated volume comes out at 200.3 Å³/cell. The uncorrected energy comes out at -0.1980 hartree per atom. The magnetic moment is 0.00 μB/cell.

No. 20
VASP calculation (PBE) on crystalline La2Ga2PdPt3 at its relaxed geometry.

abc: 4.4532 4.4532 9.7132
angles: 90.00 90.00 120.00
Positions (direct):
La 0.0000 0.0000 0.2506
La 0.6667 0.3333 0.7470
Ga 0.3333 0.6667 0.0059
Ga 0.3333 0.6667 0.5000
Pt 0.0000 0.0000 0.5759
Pt 0.6667 0.3333 0.0643
Pt 0.6667 0.3333 0.4302
Pd 0.0000 0.0000 0.9262

The space group is P3m1, No. 156. The calculated volume comes out at 166.8 Å³/cell. The uncorrected energy comes out at -0.2163 hartree per atom. The magnetic moment is 0.01 μB/cell.